This record from the Alexandria database describes a PBEsol-optimized structure of Al12Re. The functional is meta-GGA SCAN.

Output
The value obtained for the density of states at the Fermi level is 0.203 states/eV per atom. Its total energy is -166.19 eV for the cell shown.

Lattice parameters (Å, degrees): 6.484 6.484 6.484 109.47 109.47 109.47
Sites, in units of the cell vectors:
Al 0.692 0.188 0.880
Al 0.880 0.692 0.188
Al 0.692 0.812 0.505
Al 0.505 0.692 0.812
Al 0.812 0.505 0.692
Al 0.812 0.120 0.308
Al 0.188 0.495 0.308
Al 0.308 0.188 0.495
Al 0.308 0.812 0.120
Al 0.495 0.308 0.188
Al 0.188 0.880 0.692
Al 0.120 0.308 0.812
Re 0.000 0.000 0.000